1.
# LaSm2PuS4

LaSm2PuS4 after structural relaxation (PBE, Alexandria).

abc: 6.9934 4.0217 7.0085
angles: 90.00 109.29 90.00
Last column: nearest neighbours and their distance in Å.
Sites, in units of the cell vectors:
La1 0.0000 0.0000 0.0000  6 S 2.89
Sm1 0.5000 0.0000 0.5000  6 S 2.82
Sm2 0.5000 0.5000 0.0000  6 S 2.87
Pu1 0.0000 0.5000 0.5000  6 S 2.84
S1 0.2502 0.0000 0.7437  3 Sm 2.82-2.87, 2 Pu 2.84, 1 La 2.89
S2 0.2555 0.5000 0.2581  3 Sm 2.82-2.87, 1 Pu 2.84, 2 La 2.89
S3 0.7445 0.5000 0.7419  3 Sm 2.82-2.87, 1 Pu 2.84, 2 La 2.89
S4 0.7498 0.0000 0.2563  3 Sm 2.82-2.87, 2 Pu 2.84, 1 La 2.89

Results
formation energy (no corrections) = -2.003 eV/atom
magnetization = 5.76 μB per formula unit

=====

2.
# La2Sm3PuS6

La2Sm3PuS6 after structural relaxation (PBE, Alexandria).

abc: 9.0616 9.0616 8.1336
angles: 103.05 103.05 25.73
Last column: nearest neighbours and their distance in Å.
Sites, in units of the cell vectors:
La1 0.1648 0.1648 0.3310  6 S 2.89-2.93
La2 0.8352 0.8352 0.6690  6 S 2.89-2.93
Sm1 0.1672 0.1672 0.8360  6 S 2.81-2.88
Sm2 0.5000 0.5000 0.5000  6 S 2.83-2.88
Sm3 0.8328 0.8328 0.1640  6 S 2.81-2.88
Pu1 0.5000 0.5000 0.0000  6 S 2.84-2.85
S1 0.0033 0.0033 0.7545  3 Sm 2.82-2.88, 2 Pu 2.85, 1 La 2.89
S2 0.3351 0.3351 0.4101  3 Sm 2.83-2.84, 3 La 2.92-2.93
S3 0.3346 0.3346 0.9236  3 Sm 2.81-2.88, 1 Pu 2.84, 2 La 2.89
S4 0.6654 0.6654 0.0764  3 Sm 2.81-2.88, 1 Pu 2.84, 2 La 2.89
S5 0.6649 0.6649 0.5899  3 Sm 2.83-2.84, 3 La 2.92-2.93
S6 0.9967 0.9967 0.2455  3 Sm 2.82-2.88, 2 Pu 2.85, 1 La 2.89

Results
formation energy (no corrections) = -2.039 eV/atom
magnetization = 5.81 μB per formula unit

=====

3.
# La3SmPu2S6

La3SmPu2S6 after structural relaxation (PBE, Alexandria).

abc: 7.0249 7.0249 7.0790
angles: 99.50 99.50 120.00
Last column: nearest neighbours and their distance in Å.
Sites, in units of the cell vectors:
La1 0.0000 0.0000 0.0000  6 S 2.91-2.94
La2 0.3341 0.6659 0.0000  6 S 2.92-2.94
La3 0.6659 0.3341 0.0000  6 S 2.92-2.94
Sm1 0.5000 0.5000 0.5000  6 S 2.84
Pu1 0.1668 0.8332 0.5000  6 S 2.81-2.82
Pu2 0.8332 0.1668 0.5000  6 S 2.81-2.82
S1 0.0846 0.4210 0.2634  2 Pu 2.81-2.82, 1 Sm 2.84, 3 La 2.92-2.94
S2 0.2422 0.2422 0.7364  2 Pu 2.82, 1 Sm 2.84, 3 La 2.91-2.93
S3 0.4210 0.0846 0.2634  2 Pu 2.81-2.82, 1 Sm 2.84, 3 La 2.92-2.94
S4 0.5790 0.9154 0.7366  2 Pu 2.81-2.82, 1 Sm 2.84, 3 La 2.92-2.94
S5 0.7578 0.7578 0.2636  2 Pu 2.82, 1 Sm 2.84, 3 La 2.91-2.93
S6 0.9154 0.5790 0.7366  2 Pu 2.81-2.82, 1 Sm 2.84, 3 La 2.92-2.94

Results
formation energy (no corrections) = -2.014 eV/atom
magnetization = 11.42 μB per formula unit

=====

4.
# La3Sm4PuS8

La3Sm4PuS8 after structural relaxation (PBE, Alexandria).

abc: 8.1215 8.1215 8.1215
angles: 59.98 59.98 59.98
Last column: nearest neighbours and their distance in Å.
Sites, in units of the cell vectors:
La1 0.0000 0.5000 0.5000  6 S 2.91
La2 0.5000 0.0000 0.5000  6 S 2.91
La3 0.5000 0.5000 0.0000  6 S 2.91
Sm1 0.0000 0.0000 0.5000  6 S 2.83
Sm2 0.0000 0.5000 0.0000  6 S 2.83
Sm3 0.5000 0.0000 0.0000  6 S 2.83
Sm4 0.5000 0.5000 0.5000  6 S 2.89
Pu1 0.0000 0.0000 0.0000  6 S 2.86
S1 0.2418 0.7514 0.7514  3 Sm 2.83-2.89, 1 Pu 2.86, 2 La 2.91
S2 0.2465 0.2465 0.2465  3 Sm 2.83, 3 La 2.91
S3 0.2486 0.2486 0.7582  3 Sm 2.83-2.89, 1 Pu 2.86, 2 La 2.91
S4 0.2486 0.7582 0.2486  3 Sm 2.83-2.89, 1 Pu 2.86, 2 La 2.91
S5 0.7514 0.2418 0.7514  3 Sm 2.83-2.89, 1 Pu 2.86, 2 La 2.91
S6 0.7514 0.7514 0.2418  3 Sm 2.83-2.89, 1 Pu 2.86, 2 La 2.91
S7 0.7535 0.7535 0.7535  3 Sm 2.83, 3 La 2.91
S8 0.7582 0.2486 0.2486  3 Sm 2.83-2.89, 1 Pu 2.86, 2 La 2.91

Results
formation energy (no corrections) = -2.049 eV/atom
magnetization = 5.72 μB per formula unit

=====

5.
# LaSm3Pu2S6

LaSm3Pu2S6 after structural relaxation (PBE, Alexandria).

abc: 6.9538 6.9538 6.9757
angles: 99.56 99.56 120.00
Last column: nearest neighbours and their distance in Å.
Sites, in units of the cell vectors:
La1 0.0000 0.0000 0.0000  6 S 2.89
Sm1 0.1644 0.8356 0.5000  6 S 2.81-2.86
Sm2 0.5000 0.5000 0.5000  6 S 2.80-2.86
Sm3 0.8356 0.1644 0.5000  6 S 2.81-2.86
Pu1 0.3329 0.6671 0.0000  6 S 2.82
Pu2 0.6671 0.3329 0.0000  6 S 2.82
S1 0.0839 0.4256 0.2510  3 Sm 2.81-2.86, 2 Pu 2.82, 1 La 2.89
S2 0.2591 0.2591 0.7513  3 Sm 2.80-2.85, 2 Pu 2.82, 1 La 2.89
S3 0.4256 0.0839 0.2510  3 Sm 2.81-2.86, 2 Pu 2.82, 1 La 2.89
S4 0.5744 0.9161 0.7490  3 Sm 2.81-2.86, 2 Pu 2.82, 1 La 2.89
S5 0.7409 0.7409 0.2487  3 Sm 2.80-2.85, 2 Pu 2.82, 1 La 2.89
S6 0.9161 0.5744 0.7490  3 Sm 2.81-2.86, 2 Pu 2.82, 1 La 2.89

Results
formation energy (no corrections) = -1.972 eV/atom
magnetization = 11.37 μB per formula unit

=====

6.
# SrLaPu2S4

SrLaPu2S4 after structural relaxation (PBE, Alexandria).

abc: 7.0704 4.0721 7.1078
angles: 90.00 109.32 90.00
Last column: nearest neighbours and their distance in Å.
Sites, in units of the cell vectors:
Sr1 0.0000 0.0000 0.0000  6 S 2.96
La1 0.5000 0.5000 0.0000  6 S 2.94-2.95
Pu1 0.0000 0.5000 0.5000  6 S 2.84
Pu2 0.5000 0.0000 0.5000  6 S 2.82-2.83
S1 0.2463 0.0000 0.7348  3 Pu 2.83-2.84, 2 La 2.95, 1 Sr 2.96
S2 0.2574 0.5000 0.2663  3 Pu 2.82-2.84, 1 La 2.94, 2 Sr 2.96
S3 0.7426 0.5000 0.7337  3 Pu 2.82-2.84, 1 La 2.94, 2 Sr 2.96
S4 0.7537 0.0000 0.2652  3 Pu 2.83-2.84, 2 La 2.95, 1 Sr 2.96

Results
formation energy (no corrections) = -1.914 eV/atom
magnetization = 11.59 μB per formula unit

=====

7.
# La2Tb3PuS6

La2Tb3PuS6 after structural relaxation (PBE, Alexandria).

abc: 8.9839 8.9839 8.0729
angles: 103.49 103.49 25.62
Last column: nearest neighbours and their distance in Å.
Sites, in units of the cell vectors:
La1 0.1651 0.1651 0.3312  6 S 2.89-2.93
La2 0.8349 0.8349 0.6688  6 S 2.89-2.93
Tb1 0.1670 0.1670 0.8359  6 S 2.76-2.82
Tb2 0.5000 0.5000 0.5000  6 S 2.77-2.82
Tb3 0.8330 0.8330 0.1641  6 S 2.76-2.82
Pu1 0.5000 0.5000 0.0000  6 S 2.85
S1 0.0046 0.0046 0.7501  3 Tb 2.76-2.82, 2 Pu 2.85, 1 La 2.89
S2 0.3328 0.3328 0.9276  3 Tb 2.76-2.82, 1 Pu 2.85, 2 La 2.89
S3 0.3370 0.3370 0.4058  3 Tb 2.77-2.78, 3 La 2.92-2.93
S4 0.6630 0.6630 0.5942  3 Tb 2.77-2.78, 3 La 2.92-2.93
S5 0.6672 0.6672 0.0724  3 Tb 2.76-2.82, 1 Pu 2.85, 2 La 2.89
S6 0.9954 0.9954 0.2499  3 Tb 2.76-2.82, 2 Pu 2.85, 1 La 2.89

Results
formation energy (no corrections) = -2.034 eV/atom
magnetization = 5.87 μB per formula unit

=====

8.
# LaTb2PuS4

LaTb2PuS4 after structural relaxation (PBE, Alexandria).

abc: 6.9256 3.9750 6.9404
angles: 90.00 109.19 90.00
Last column: nearest neighbours and their distance in Å.
Sites, in units of the cell vectors:
La1 0.0000 0.0000 0.0000  6 S 2.89
Tb1 0.0000 0.5000 0.5000  6 S 2.81
Tb2 0.5000 0.0000 0.5000  6 S 2.76
Pu1 0.5000 0.5000 0.0000  6 S 2.84
S1 0.2535 0.0000 0.7424  3 Tb 2.76-2.81, 2 Pu 2.84, 1 La 2.89
S2 0.2602 0.5000 0.2629  3 Tb 2.76-2.81, 1 Pu 2.84, 2 La 2.89
S3 0.7398 0.5000 0.7371  3 Tb 2.76-2.81, 1 Pu 2.84, 2 La 2.89
S4 0.7465 0.0000 0.2576  3 Tb 2.76-2.81, 2 Pu 2.84, 1 La 2.89

Results
formation energy (no corrections) = -1.998 eV/atom
magnetization = 5.82 μB per formula unit

=====

9.
# La4Tb3PuS8

La4Tb3PuS8 after structural relaxation (PBE, Alexandria).

abc: 8.1188 8.1188 8.1188
angles: 59.54 59.54 59.54
Last column: nearest neighbours and their distance in Å.
Sites, in units of the cell vectors:
La1 0.0000 0.0000 0.0000  6 S 2.92
La2 0.0000 0.5000 0.5000  6 S 2.93
La3 0.5000 0.0000 0.5000  6 S 2.93
La4 0.5000 0.5000 0.0000  6 S 2.93
Tb1 0.0000 0.0000 0.5000  6 S 2.79
Tb2 0.0000 0.5000 0.0000  6 S 2.79
Tb3 0.5000 0.0000 0.0000  6 S 2.79
Pu1 0.5000 0.5000 0.5000  6 S 2.80
S1 0.2430 0.7449 0.7449  2 Tb 2.79, 1 Pu 2.80, 3 La 2.92-2.93
S2 0.2439 0.2439 0.2439  3 Tb 2.79, 3 La 2.93
S3 0.2551 0.2551 0.7570  2 Tb 2.79, 1 Pu 2.80, 3 La 2.92-2.93
S4 0.2551 0.7570 0.2551  2 Tb 2.79, 1 Pu 2.80, 3 La 2.92-2.93
S5 0.7449 0.2430 0.7449  2 Tb 2.79, 1 Pu 2.80, 3 La 2.92-2.93
S6 0.7449 0.7449 0.2430  2 Tb 2.79, 1 Pu 2.80, 3 La 2.92-2.93
S7 0.7561 0.7561 0.7561  3 Tb 2.79, 3 La 2.93
S8 0.7570 0.2551 0.2551  2 Tb 2.79, 1 Pu 2.80, 3 La 2.92-2.93

Results
formation energy (no corrections) = -2.065 eV/atom
magnetization = 5.69 μB per formula unit

=====

10.
# LaTbPu2S4

LaTbPu2S4 after structural relaxation (PBE, Alexandria).

abc: 6.9281 3.9901 6.9481
angles: 90.00 109.28 90.00
Last column: nearest neighbours and their distance in Å.
Sites, in units of the cell vectors:
La1 0.0000 0.0000 0.0000  6 S 2.89
Tb1 0.5000 0.5000 0.0000  6 S 2.82
Pu1 0.0000 0.5000 0.5000  6 S 2.84
Pu2 0.5000 0.0000 0.5000  6 S 2.77
S1 0.2571 0.0000 0.7468  3 Pu 2.77-2.84, 2 Tb 2.82, 1 La 2.89
S2 0.2614 0.5000 0.2596  3 Pu 2.77-2.84, 1 Tb 2.82, 2 La 2.89
S3 0.7386 0.5000 0.7404  3 Pu 2.77-2.84, 1 Tb 2.82, 2 La 2.89
S4 0.7429 0.0000 0.2532  3 Pu 2.77-2.84, 2 Tb 2.82, 1 La 2.89

Results
formation energy (no corrections) = -1.930 eV/atom
magnetization = 11.39 μB per formula unit